The following is a PBEsol calculation of a geometry-optimized SbMoCl structure, from Alexandria.

Its size of the total moment is 0.01 Bohr magnetons per cell. The calculation puts the offset from the most stable computed form at 1.33 eV per formula unit.

It has space group P-6m2 (No. 187), with a = 4.4446 Å, b = 4.4446 Å, c = 3.1343 Å, α = 90.00°, β = 90.00° and γ = 120.00°. The distinct sites, in fractional coordinates, are Sb at (0.0000, 0.0000, 0.0000), Mo at (0.3333, 0.6667, 0.5000) and Cl at (0.6667, 0.3333, 0.5000).

***

The following is a PBEsol calculation of a geometry-optimized SbMoCl structure, from Alexandria.

Its size of the total moment is 0.00 Bohr magnetons per cell. The calculation puts the offset from the most stable computed form at 0.00 eV per formula unit.

It has space group P3m1 (No. 156), with a = 3.2124 Å, b = 3.2124 Å, c = 7.2539 Å, α = 90.00°, β = 90.00° and γ = 120.00°. The distinct sites, in fractional coordinates, are Sb at (0.0000, 0.0000, 0.0000), Mo at (0.6667, 0.3333, 0.2866) and Cl at (0.3333, 0.6667, 0.5039).

***

The following is a PBEsol calculation of a geometry-optimized SbTe2MoCl structure, from Alexandria.

The total energy comes out at -3.7187 eV per atom. Its size of the total moment is 3.00 Bohr magnetons per cell.

It has space group P4/mmm (No. 123), with a = 5.1533 Å, b = 5.1533 Å, c = 5.2207 Å, α = 90.00°, β = 90.00° and γ = 90.00°. The distinct sites, in fractional coordinates, are Sb at (0.0000, 0.0000, 0.0000), Te at (0.0000, 0.5000, 0.5000), Mo at (0.5000, 0.5000, 0.0000) and Cl at (0.0000, 0.0000, 0.5000).

***

Which of these has the lowest size of the total moment?
number 2